(1)
Computed, not measured: a relaxed RbSO4F crystal at the PBE level of DFT.

## Properties
**Symmetry**: P-1 (2)
**Formation energy (no corrections)**: -1.31 eV/atom
**Total energy**: -5.143 eV/atom
**Total moment**: 0.000 μB per cell

a = 5.599 Å, b = 5.840 Å, c = 7.781 Å
α = 100.72°, β = 106.78°, γ = 94.58°
Positions (direct):
Rb 0.110 0.335 0.242
Rb 0.890 0.665 0.758
S 0.386 0.224 0.791
S 0.614 0.776 0.209
O 0.189 0.168 0.870
O 0.320 0.368 0.655
O 0.357 0.716 0.083
O 0.446 0.967 0.686
O 0.554 0.033 0.314
O 0.643 0.284 0.917
O 0.680 0.632 0.345
O 0.811 0.832 0.130
F 0.209 0.845 0.537
F 0.791 0.155 0.463


(2)
Computed, not measured: a relaxed CaNiBN2 crystal at the PBE level of DFT.

## Properties
**Symmetry**: P4/mmm (123)
**Formation energy (no corrections)**: 1.41 eV/atom
**Total energy**: -4.817 eV/atom
**Total moment**: 0.003 μB per cell

a = 3.356 Å, b = 3.356 Å, c = 5.194 Å
α = 90.00°, β = 90.00°, γ = 90.00°
Positions (direct):
Ca 0.000 0.000 0.000
Ni 0.500 0.500 0.000
B 0.000 0.000 0.500
N 0.000 0.500 0.500
N 0.500 0.000 0.500


(3)
Computed, not measured: a relaxed RbZn2W crystal at the PBE level of DFT.

## Properties
**Symmetry**: I4_1/amd (141)
**Total energy**: -2.909 eV/atom
**Total moment**: 12.080 μB per cell

a = 5.352 Å, b = 5.352 Å, c = 17.951 Å
α = 90.00°, β = 90.00°, γ = 90.00°
Positions (direct):
Rb 0.000 0.250 0.375
Rb 0.000 0.750 0.625
Rb 0.500 0.250 0.125
Rb 0.500 0.750 0.875
Zn 0.000 0.000 0.000
Zn 0.000 0.500 0.000
Zn 0.250 0.250 0.750
Zn 0.250 0.750 0.250
Zn 0.500 0.000 0.500
Zn 0.500 0.500 0.500
Zn 0.750 0.250 0.750
Zn 0.750 0.750 0.250
W 0.000 0.250 0.875
W 0.000 0.750 0.125
W 0.500 0.250 0.625
W 0.500 0.750 0.375